DFT (PBE-GGA) results for a geometry-optimized Li2NdEr2Sn2 structure.

extended XYZ file:
```
7
Lattice="4.8098 0.0000 0.0000 2.4049 4.1654 0.0000 2.4049 1.3885 8.8811" Properties=species:S:1:pos:R:3 pbc="T T T"
Sn 2.4049 1.3885 1.9731
Li 4.8098 2.7770 2.0751
Nd 0.0000 0.0000 0.0000
Er 2.4049 1.3885 5.4037
Er 7.2147 4.1654 3.4773
Li 4.8098 2.7770 6.8059
Sn 7.2147 4.1654 6.9079
```

Summary:
- Calculated formation energy: -459 meV/atom
- Energy: -4.13 eV per atom
- Total magnetic moment: 0.0 μB per cell
- Density of states at the Fermi level: 4.09 states/eV/f.u.